Here is crystalline La4Sm3Cd at its relaxed geometry from the Alexandria database. Energies are from GGA-PBE.

a = 4.213 Å, b = 4.213 Å, c = 15.379 Å
α = 90.00°, β = 90.00°, γ = 90.00°
Space group P4/mmm (No. 123)
Symmetry-distinct sites (fractional):
La 0.000 0.000 0.113
La 0.000 0.000 0.382
Sm 0.500 0.500 0.252
Sm 0.500 0.500 0.500
Cd 0.500 0.500 0.000

Summary:
ΔH_f (0 K): 0.0014 eV per atom
Crystal system: tetragonal
Final energy: -34.77 eV/f.u.
Magnetization: 0.0 μB per formula unit